# 1
# CsMgTl2Rh (PBE, optimized geometry)
data_CsMgTl2Rh
_cell_length_a 5.401
_cell_length_b 5.401
_cell_length_c 5.265
_cell_angle_alpha 90.00
_cell_angle_beta 90.00
_cell_angle_gamma 90.00
_space_group_name_H-M_alt 'P 4/m m m'
_space_group_IT_number 123
_space_group_name_Hall '-P 4 2'
loop_
_atom_site_label
_atom_site_type_symbol
_atom_site_fract_x
_atom_site_fract_y
_atom_site_fract_z
Cs1 Cs 0.000 0.000 0.000
Mg1 Mg 0.500 0.500 0.000
Tl1 Tl 0.000 0.500 0.500
Rh1 Rh 0.500 0.500 0.500
# * density of states at the Fermi level: 2.26 states/eV/f.u.
# * calculated formation energy: -0.11 eV/atom

# 2
# CsMg2ZnRh (PBE, optimized geometry)
data_CsMg2ZnRh
_cell_length_a 5.183
_cell_length_b 5.183
_cell_length_c 5.126
_cell_angle_alpha 90.00
_cell_angle_beta 90.00
_cell_angle_gamma 90.00
_space_group_name_H-M_alt 'P 4/m m m'
_space_group_IT_number 123
_space_group_name_Hall '-P 4 2'
loop_
_atom_site_label
_atom_site_type_symbol
_atom_site_fract_x
_atom_site_fract_y
_atom_site_fract_z
Cs1 Cs 0.000 0.000 0.000
Mg1 Mg 0.000 0.500 0.500
Zn1 Zn 0.500 0.500 0.000
Rh1 Rh 0.500 0.500 0.500
# * density of states at the Fermi level: 2.25 states/eV/f.u.
# * calculated formation energy: -0.06 eV/atom